1.
Density functional theory data (PBE) for a relaxed structure of AcTiBi.

abc: 6.5157 7.1341 8.7628
angles: 90.00 113.19 90.00
Sites, in units of the cell vectors:
Ac  0.2054  0.1458  0.3788
Ac  0.2054  0.3542  0.8788
Ac  0.7946  0.6458  0.1212
Ac  0.7946  0.8542  0.6212
Ti  0.1993  0.5743  0.5365
Ti  0.1993  0.9257  0.0365
Ti  0.8007  0.0743  0.9635
Ti  0.8007  0.4257  0.4635
Bi  0.3621  0.6177  0.2710
Bi  0.3621  0.8823  0.7710
Bi  0.6379  0.1177  0.2290
Bi  0.6379  0.3823  0.7290

## Properties
- E_tot: -66.59 eV/cell
- Energy above the lowest structure with this stoichiometry: 0 meV per atom
- Theoretical density: 8.58 g/cm³
- Magnetic moment: 4.197 μB/cell
- Energy of formation: -254 meV/atom

***

2.
Density functional theory data (PBE) for a relaxed structure of Bi4Os.

abc: 5.3583 5.3583 5.3583
angles: 90.00 90.00 90.00
Sites, in units of the cell vectors:
Bi  0.0000  0.0000  0.0000
Bi  0.0000  0.5000  0.5000
Bi  0.5000  0.0000  0.5000
Bi  0.5000  0.5000  0.0000
Os  0.5000  0.5000  0.5000

## Properties
- E_tot: -23.50 eV/cell
- Theoretical density: 11.08 g/cm³
- Magnetic moment: 0.000 μB/cell
- Energy of formation: 652 meV/atom

***

3.
Density functional theory data (PBE) for a relaxed structure of ZrOsBr3.

abc: 5.0299 5.0299 5.0299
angles: 90.00 90.00 90.00
Sites, in units of the cell vectors:
Zr  0.0000  0.0000  0.0000
Os  0.5000  0.5000  0.5000
Br  0.0000  0.5000  0.5000
Br  0.5000  0.0000  0.5000
Br  0.5000  0.5000  0.0000

## Properties
- E_tot: -20.55 eV/cell
- Energy above the lowest structure with this stoichiometry: 157 meV per atom
- Theoretical density: 6.80 g/cm³
- Formation energy from raw total energies: 0.85 eV/atom
- Magnetic moment: 1.711 μB/cell